The following is a GGA-PBE calculation of an optimized crystal structure of FeRh5, from Alexandria via LeMat-Bulk.

Results
- ΔE_f: 0.00 eV/atom
- Density of states at the Fermi level: 18.66 states/eV per cell
- Calculated density: 11.343 g/cm³

Cell: 4.348 2.748 13.976 Å, 90.00 90.00 90.00°
Space group Amm2 (No. 38)
Symmetry-distinct sites (fractional):
Fe 0.000 0.000 0.000 [2 per cell]
Rh 0.000 0.000 0.334 [2 per cell]
Rh 0.000 0.000 0.662 [2 per cell]
Rh 0.500 0.000 0.110 [2 per cell]
Rh 0.500 0.000 0.447 [2 per cell]
Rh 0.500 0.000 0.779 [2 per cell]